An optimized crystal structure of BaFeF5, computed with PBE+U.

Its raw total energy is -154.19 eV/cell. The value obtained for the excess energy over the best structure of this formula in the dataset is 35 meV/atom. The total moment comes out at 4.987 μB per formula unit.

It has space group C2/c (No. 15), with a = 7.6915 Å, b = 7.5676 Å, c = 7.7189 Å, α = 90.00°, β = 92.21° and γ = 90.00°. The distinct sites, in fractional coordinates, are Ba at (0.0000, 0.0414, 0.2500), Fe at (0.0000, 0.5000, 0.0000), F at (0.0000, 0.4199, 0.2500), F at (0.0408, 0.2551, 0.5578) and F at (0.2493, 0.4621, 0.9987).